Here is an optimized crystal structure of Pm2UO6 from the Alexandria database. Energies are from PBE.

Values from the calculation:
**Spin magnetization**: 0.000 μB/atom
**E_form (uncorrected)**: -3.3946 eV/atom
**D(E_F)**: 0.0 states/eV per cell
**Offset from the most stable computed form**: 0.0 meV per atom

Cell: 6.5988 6.5988 6.5988 Å, 145.51 130.86 61.42°
With the nearest neighbours (Å) after each atom.
Fractional coordinates of all 9 atoms:
Pm  0.1651  0.1651  0.0000  8 O 2.40-2.44
Pm  0.8349  0.8349  0.0000  8 O 2.40-2.44
U  0.5000  0.5000  0.0000  8 O 2.17-2.32
O  0.1105  0.3474  0.7631  1 U 2.17
O  0.2739  0.0000  0.2739  2 U 2.32, 2 Pm 2.40, 1 O 2.48
O  0.4157  0.6526  0.7631  1 U 2.17
O  0.5843  0.3474  0.2369  1 U 2.17
O  0.7261  0.0000  0.7261  2 U 2.32, 2 Pm 2.40, 1 O 2.48
O  0.8895  0.6526  0.2369  1 U 2.17

Here is an optimized crystal structure of Pm2U2O7 from the Alexandria database. Energies are from PBE.

Values from the calculation:
**Spin magnetization**: 0.364 μB/atom
**E_form (uncorrected)**: -3.3079 eV/atom
**D(E_F)**: 23.7 states/eV per cell

Cell: 7.7678 7.7678 7.7678 Å, 60.00 60.00 60.00°
With the nearest neighbours (Å) after each atom.
Fractional coordinates of all 22 atoms:
Pm  0.0000  0.0000  0.0000  8 O 2.38-2.54
Pm  0.0000  0.0000  0.5000  8 O 2.38-2.54
Pm  0.0000  0.5000  0.0000  8 O 2.38-2.54
Pm  0.5000  0.0000  0.0000  8 O 2.38-2.54
U  0.0000  0.5000  0.5000  6 O 2.24
U  0.5000  0.0000  0.5000  6 O 2.24
U  0.5000  0.5000  0.0000  6 O 2.24
U  0.5000  0.5000  0.5000  6 O 2.24
O  0.1250  0.1250  0.1250  4 Pm 2.38
O  0.1490  0.1490  0.6010  2 U 2.24
O  0.1490  0.6010  0.1490  2 U 2.24
O  0.1490  0.6010  0.6010  2 U 2.24
O  0.3990  0.3990  0.8510  2 U 2.24
O  0.3990  0.8510  0.3990  2 U 2.24
O  0.3990  0.8510  0.8510  2 U 2.24
O  0.6010  0.1490  0.1490  2 U 2.24
O  0.6010  0.1490  0.6010  2 U 2.24
O  0.6010  0.6010  0.1490  2 U 2.24
O  0.8510  0.3990  0.3990  2 U 2.24
O  0.8510  0.3990  0.8510  2 U 2.24
O  0.8510  0.8510  0.3990  2 U 2.24
O  0.8750  0.8750  0.8750  4 Pm 2.38

Here is an optimized crystal structure of PmUO4 from the Alexandria database. Energies are from PBE.

Values from the calculation:
**Spin magnetization**: 0.167 μB/atom
**E_form (uncorrected)**: -3.4319 eV/atom
**D(E_F)**: 4.1 states/eV per cell
**Offset from the most stable computed form**: 0.0 meV per atom

Cell: 6.5756 6.5756 6.5756 Å, 34.40 34.40 34.40°
With the nearest neighbours (Å) after each atom.
Fractional coordinates of all 6 atoms:
Pm  0.0000  0.0000  0.0000  8 O 2.43-2.45
U  0.5000  0.5000  0.5000  8 O 2.15-2.33
O  0.1323  0.1323  0.1323  3 U 2.33, 1 Pm 2.45, 3 O 2.58
O  0.3838  0.3838  0.3838  1 U 2.15
O  0.6162  0.6162  0.6162  1 U 2.15
O  0.8677  0.8677  0.8677  3 U 2.33, 1 Pm 2.45, 3 O 2.58

Here is an optimized crystal structure of Pm4U6O19 from the Alexandria database. Energies are from PBE.

Values from the calculation:
**Spin magnetization**: 0.345 μB/atom
**E_form (uncorrected)**: -3.1689 eV/atom
**D(E_F)**: 23.1 states/eV per cell

Cell: 8.5091 8.5091 8.5091 Å, 109.47 109.47 109.47°
With the nearest neighbours (Å) after each atom.
Fractional coordinates of all 29 atoms:
Pm  0.0000  0.0000  0.7119  4 O 2.29-2.45
Pm  0.0000  0.7119  0.0000  4 O 2.29-2.45
Pm  0.2881  0.2881  0.2881  4 O 2.29-2.45
Pm  0.7119  0.0000  0.0000  4 O 2.29-2.45
U  0.1750  0.6750  0.5000  6 O 2.20-2.24
U  0.3250  0.5000  0.8250  6 O 2.20-2.24
U  0.5000  0.1750  0.6750  6 O 2.20-2.24
U  0.5000  0.8250  0.3250  6 O 2.20-2.24
U  0.6750  0.5000  0.1750  6 O 2.20-2.24
U  0.8250  0.3250  0.5000  6 O 2.20-2.24
O  0.0000  0.0000  0.0000  4 Pm 2.45
O  0.0000  0.3567  0.3567  2 U 2.22
O  0.0000  0.6433  0.6433  2 U 2.22
O  0.0230  0.2561  0.6676  2 U 2.20-2.24, 1 Pm 2.29
O  0.2331  0.9770  0.6446  2 U 2.20-2.24, 1 Pm 2.29
O  0.2561  0.6676  0.0230  2 U 2.20-2.24, 1 Pm 2.29
O  0.3324  0.5885  0.3554  2 U 2.20-2.24, 1 Pm 2.29
O  0.3554  0.3324  0.5885  2 U 2.20-2.24, 1 Pm 2.29
O  0.3567  0.0000  0.3567  2 U 2.22
O  0.3567  0.3567  0.0000  2 U 2.22
O  0.4115  0.7439  0.7669  2 U 2.20-2.24, 1 Pm 2.29
O  0.5885  0.3554  0.3324  2 U 2.20-2.24, 1 Pm 2.29
O  0.6433  0.0000  0.6433  2 U 2.22
O  0.6433  0.6433  0.0000  2 U 2.22
O  0.6446  0.2331  0.9770  2 U 2.20-2.24, 1 Pm 2.29
O  0.6676  0.0230  0.2561  2 U 2.20-2.24, 1 Pm 2.29
O  0.7439  0.7669  0.4115  2 U 2.20-2.24, 1 Pm 2.29
O  0.7669  0.4115  0.7439  2 U 2.20-2.24, 1 Pm 2.29
O  0.9770  0.6446  0.2331  2 U 2.20-2.24, 1 Pm 2.29

Here is an optimized crystal structure of PmUO4 from the Alexandria database. Energies are from PBE.

Values from the calculation:
**Spin magnetization**: 0.167 μB/atom
**E_form (uncorrected)**: -3.3942 eV/atom
**D(E_F)**: 12.0 states/eV per cell
**Offset from the most stable computed form**: 37.7 meV per atom

Cell: 6.6327 6.6327 6.6327 Å, 131.40 131.40 71.18°
With the nearest neighbours (Å) after each atom.
Fractional coordinates of all 12 atoms:
Pm  0.3750  0.6250  0.7500  8 O 2.42
Pm  0.6250  0.3750  0.2500  8 O 2.42
U  0.1250  0.8750  0.2500  8 O 2.30
U  0.8750  0.1250  0.7500  8 O 2.30
O  0.0000  0.2308  0.2308  2 U 2.30, 2 Pm 2.42, 1 O 2.52
O  0.0000  0.7692  0.7692  2 U 2.30, 2 Pm 2.42, 1 O 2.52
O  0.2308  0.0000  0.7308  2 U 2.30, 2 Pm 2.42, 1 O 2.52
O  0.2308  0.5000  0.2308  2 U 2.30, 2 Pm 2.42, 1 O 2.52
O  0.5000  0.2308  0.7308  2 U 2.30, 2 Pm 2.42, 1 O 2.52
O  0.5000  0.7692  0.2692  2 U 2.30, 2 Pm 2.42, 1 O 2.52
O  0.7692  0.0000  0.2692  2 U 2.30, 2 Pm 2.42, 1 O 2.52
O  0.7692  0.5000  0.7692  2 U 2.30, 2 Pm 2.42, 1 O 2.52

Here is an optimized crystal structure of Pm3U5O12 from the Alexandria database. Energies are from PBE.

Values from the calculation:
**Spin magnetization**: 0.521 μB/atom
**E_form (uncorrected)**: -2.9058 eV/atom
**D(E_F)**: 98.1 states/eV per cell

Cell: 11.8773 11.8773 11.8773 Å, 109.47 109.47 109.47°
With the nearest neighbours (Å) after each atom.
Fractional coordinates of all 80 atoms:
Pm  0.1250  0.2500  0.3750  8 O 2.56-2.58
Pm  0.1250  0.3750  0.7500  8 O 2.56-2.58
Pm  0.2500  0.3750  0.1250  8 O 2.56-2.58
Pm  0.2500  0.8750  0.6250  8 O 2.56-2.58
Pm  0.3750  0.1250  0.2500  8 O 2.56-2.58
Pm  0.3750  0.7500  0.1250  8 O 2.56-2.58
Pm  0.6250  0.2500  0.8750  8 O 2.56-2.58
Pm  0.6250  0.8750  0.7500  8 O 2.56-2.58
Pm  0.7500  0.1250  0.3750  8 O 2.56-2.58
Pm  0.7500  0.6250  0.8750  8 O 2.56-2.58
Pm  0.8750  0.6250  0.2500  8 O 2.56-2.58
Pm  0.8750  0.7500  0.6250  8 O 2.56-2.58
U  0.0000  0.0000  0.0000  6 O 2.29
U  0.0000  0.0000  0.5000  6 O 2.29
U  0.0000  0.5000  0.0000  6 O 2.29
U  0.0000  0.5000  0.5000  6 O 2.29
U  0.1250  0.7500  0.8750  4 O 2.15
U  0.1250  0.8750  0.2500  4 O 2.15
U  0.2500  0.1250  0.8750  4 O 2.15
U  0.2500  0.6250  0.3750  4 O 2.15
U  0.3750  0.2500  0.6250  4 O 2.15
U  0.3750  0.6250  0.7500  4 O 2.15
U  0.5000  0.0000  0.0000  6 O 2.29
U  0.5000  0.0000  0.5000  6 O 2.29
U  0.5000  0.5000  0.0000  6 O 2.29
U  0.5000  0.5000  0.5000  6 O 2.29
U  0.6250  0.3750  0.2500  4 O 2.15
U  0.6250  0.7500  0.3750  4 O 2.15
U  0.7500  0.3750  0.6250  4 O 2.15
U  0.7500  0.8750  0.1250  4 O 2.15
U  0.8750  0.1250  0.7500  4 O 2.15
U  0.8750  0.2500  0.1250  4 O 2.15
O  0.0443  0.2172  0.1322  2 U 2.15-2.29
O  0.0443  0.3271  0.9121  2 U 2.15-2.29
O  0.0850  0.7172  0.6729  2 U 2.15-2.29
O  0.0850  0.8678  0.4121  2 U 2.15-2.29
O  0.0879  0.6322  0.4150  2 U 2.15-2.29
O  0.0879  0.9557  0.6729  2 U 2.15-2.29
O  0.1322  0.0443  0.2172  2 U 2.15-2.29
O  0.1322  0.5879  0.9150  2 U 2.15-2.29
O  0.1729  0.2172  0.5850  2 U 2.15-2.29
O  0.1729  0.4557  0.5879  2 U 2.15-2.29
O  0.2172  0.1322  0.0443  2 U 2.15-2.29
O  0.2172  0.5850  0.1729  2 U 2.15-2.29
O  0.2828  0.3271  0.9150  2 U 2.15-2.29
O  0.2828  0.4557  0.3678  2 U 2.15-2.29
O  0.3271  0.9121  0.0443  2 U 2.15-2.29
O  0.3271  0.9150  0.2828  2 U 2.15-2.29
O  0.3678  0.2828  0.4557  2 U 2.15-2.29
O  0.3678  0.5850  0.9121  2 U 2.15-2.29
O  0.4121  0.0850  0.8678  2 U 2.15-2.29
O  0.4121  0.8271  0.5443  2 U 2.15-2.29
O  0.4150  0.0879  0.6322  2 U 2.15-2.29
O  0.4150  0.8271  0.7828  2 U 2.15-2.29
O  0.4557  0.3678  0.2828  2 U 2.15-2.29
O  0.4557  0.5879  0.1729  2 U 2.15-2.29
O  0.5443  0.4121  0.8271  2 U 2.15-2.29
O  0.5443  0.6322  0.7172  2 U 2.15-2.29
O  0.5850  0.1729  0.2172  2 U 2.15-2.29
O  0.5850  0.9121  0.3678  2 U 2.15-2.29
O  0.5879  0.1729  0.4557  2 U 2.15-2.29
O  0.5879  0.9150  0.1322  2 U 2.15-2.29
O  0.6322  0.4150  0.0879  2 U 2.15-2.29
O  0.6322  0.7172  0.5443  2 U 2.15-2.29
O  0.6729  0.0850  0.7172  2 U 2.15-2.29
O  0.6729  0.0879  0.9557  2 U 2.15-2.29
O  0.7172  0.5443  0.6322  2 U 2.15-2.29
O  0.7172  0.6729  0.0850  2 U 2.15-2.29
O  0.7828  0.4150  0.8271  2 U 2.15-2.29
O  0.7828  0.8678  0.9557  2 U 2.15-2.29
O  0.8271  0.5443  0.4121  2 U 2.15-2.29
O  0.8271  0.7828  0.4150  2 U 2.15-2.29
O  0.8678  0.4121  0.0850  2 U 2.15-2.29
O  0.8678  0.9557  0.7828  2 U 2.15-2.29
O  0.9121  0.0443  0.3271  2 U 2.15-2.29
O  0.9121  0.3678  0.5850  2 U 2.15-2.29
O  0.9150  0.1322  0.5879  2 U 2.15-2.29
O  0.9150  0.2828  0.3271  2 U 2.15-2.29
O  0.9557  0.6729  0.0879  2 U 2.15-2.29
O  0.9557  0.7828  0.8678  2 U 2.15-2.29

Here is an optimized crystal structure of PmU2O8 from the Alexandria database. Energies are from PBE.

Values from the calculation:
**Spin magnetization**: 0.091 μB/atom
**E_form (uncorrected)**: -2.8349 eV/atom
**D(E_F)**: 0.2 states/eV per cell

Cell: 6.0843 6.0843 4.0436 Å, 94.01 94.01 114.84°
With the nearest neighbours (Å) after each atom.
Fractional coordinates of all 11 atoms:
Pm  0.0000  0.0000  0.0000  12 O 2.53-2.79
U  0.3221  0.6779  0.5000  6 O 2.08-2.27
U  0.6779  0.3221  0.5000  6 O 2.08-2.27
O  0.0655  0.3283  0.5562  1 U 2.08
O  0.2467  0.7533  0.0000  2 U 2.16
O  0.3283  0.0655  0.5562  1 U 2.08
O  0.3953  0.3953  0.1879  1 O 2.18, 2 U 2.27
O  0.6047  0.6047  0.8121  1 O 2.18, 2 U 2.27
O  0.6717  0.9345  0.4438  1 U 2.08
O  0.7533  0.2467  0.0000  2 U 2.16
O  0.9345  0.6717  0.4438  1 U 2.08